La5PPb3 after structural relaxation. Source: the Alexandria database, functional GGA-PBEsol.

Lattice parameters (Å, degrees): 7.072 9.568 9.568 120.00 90.00 90.00
Fractional positions:
La 0.500 0.333 0.667
La 0.250 0.239 0.239
Pb 0.750 0.000 0.600
P 0.500 0.000 0.000
La 0.750 0.239 0.000
La 0.250 0.761 0.000
La 0.250 0.000 0.761
La 0.000 0.333 0.667
P 0.000 0.000 0.000
La 0.500 0.667 0.333
Pb 0.250 0.000 0.400
Pb 0.750 0.600 0.000
Pb 0.250 0.600 0.600
La 0.750 0.000 0.239
Pb 0.750 0.400 0.400
La 0.750 0.761 0.761
La 0.000 0.667 0.333
Pb 0.250 0.400 0.000

Computed properties:
Its calculated total energy is -5.82 eV per atom. As for the energy relative to the elements: -0.87 eV per atom. Its symmetry is P6_3/mcm.

=====

LaPPb after structural relaxation. Source: the Alexandria database, functional GGA-PBEsol.

Lattice parameters (Å, degrees): 4.134 4.696 4.696 120.00 90.00 90.00
Fractional positions:
Pb 0.455 0.667 0.333
La 0.979 0.000 0.000
P 0.566 0.333 0.667

Computed properties:
Its calculated total energy is -5.57 eV per atom. As for the energy relative to the elements: -0.53 eV per atom. Its symmetry is P3m1.

=====

LaP2Pb after structural relaxation. Source: the Alexandria database, functional GGA-PBEsol.

Lattice parameters (Å, degrees): 4.443 4.443 6.134 68.77 68.77 60.00
Fractional positions:
La 0.279 0.279 0.164
Pb 0.470 0.470 0.590
P 0.048 0.048 0.856
P 0.704 0.704 0.889

Computed properties:
Its calculated total energy is -5.50 eV per atom. As for the energy relative to the elements: -0.27 eV per atom. Its symmetry is R3m.

=====

LaP2Pb after structural relaxation. Source: the Alexandria database, functional GGA-PBEsol.

Lattice parameters (Å, degrees): 4.152 4.152 5.938 90.00 90.00 90.00
Fractional positions:
P 0.500 0.627 0.500
La 0.000 0.127 0.500
Pb 0.500 0.623 0.000
P 0.000 0.124 0.000

Computed properties:
Its calculated total energy is -5.83 eV per atom. As for the energy relative to the elements: -0.60 eV per atom. Its symmetry is Pmm2.

=====

LaPPb2 after structural relaxation. Source: the Alexandria database, functional GGA-PBEsol.

Lattice parameters (Å, degrees): 4.041 4.041 8.741 76.63 76.63 60.00
Fractional positions:
Pb 0.984 0.984 0.049
La 0.518 0.518 0.447
Pb 0.750 0.750 0.751
P 0.249 0.249 0.253

Computed properties:
Its calculated total energy is -5.16 eV per atom. As for the energy relative to the elements: -0.38 eV per atom. Its symmetry is R3m.

=====

LaP2Pd2 after structural relaxation. Source: the Alexandria database, functional GGA-PBEsol.

Lattice parameters (Å, degrees): 4.153 4.153 5.745 111.19 111.19 90.00
Fractional positions:
La 0.000 0.000 0.000
Pd 0.250 0.750 0.500
Pd 0.750 0.250 0.500
P 0.614 0.614 0.228
P 0.386 0.386 0.772

Computed properties:
Its calculated total energy is -6.84 eV per atom. As for the energy relative to the elements: -1.07 eV per atom. Its symmetry is I4/mmm.